Li2CaP2Pd (PBE, relaxed); energy of formation = -0.50 eV/atom; DFT total energy = -4.138 eV per atom; density = 3.11 g cm⁻³; density of states at the Fermi level = 0.437 states/eV per atom
1.0
-3.929 -1.738 -2.121
1.466 -4.463 0.942
-1.273 3.235 5.120
Li Ca P Pd
2 1 2 1
Direct
0.250 0.750 0.500
0.750 0.250 0.500
0.500 0.500 0.000
0.784 0.784 0.568
0.216 0.216 0.432
0.000 0.000 0.000



LiCaPPd2 (PBE, relaxed); energy of formation = -0.65 eV/atom; DFT total energy = -4.593 eV per atom; density = 5.02 g cm⁻³; density of states at the Fermi level = 0.157 states/eV per atom
1.0
-1.287 -3.179 3.125
3.713 -2.565 -1.079
2.377 2.122 3.137
P Ca Pd Li
1 1 2 1
Direct
0.000 0.000 0.000
0.500 0.500 0.500
0.000 0.500 0.000
0.500 0.000 0.000
0.000 0.000 0.500



LiCa2PPd6 (PBE, relaxed); energy of formation = -0.55 eV/atom; DFT total energy = -4.797 eV per atom; density = 6.94 g cm⁻³; density of states at the Fermi level = 0.464 states/eV per atom
1.0
-6.231 0.271 -2.920
-2.525 -0.731 5.320
-0.150 8.789 1.137
Li Ca P Pd
2 4 2 12
Direct
0.000 0.602 0.500
0.500 0.398 0.000
0.500 0.755 0.255
0.000 0.245 0.755
0.500 0.755 0.745
0.000 0.245 0.245
0.500 0.142 0.500
0.000 0.858 0.000
0.500 0.248 0.248
0.500 0.248 0.752
0.000 0.752 0.252
0.000 0.752 0.748
0.206 0.958 0.500
0.794 0.958 0.500
0.301 0.468 0.500
0.699 0.468 0.500
0.801 0.532 0.000
0.199 0.532 0.000
0.294 0.042 0.000
0.706 0.042 0.000



Li2CaPmP2 (PBE, relaxed); energy of formation = -1.00 eV/atom; DFT total energy = -4.567 eV per atom; density = 3.76 g cm⁻³; density of states at the Fermi level = 0.352 states/eV per atom
1.0
-1.027 1.802 -3.656
0.074 -4.190 0.330
-7.241 0.033 2.050
Li Ca Pm P
2 1 1 2
Direct
0.333 0.667 0.736
0.667 0.333 0.264
0.000 0.000 0.500
0.000 0.000 0.000
0.333 0.667 0.249
0.667 0.333 0.751



LiCaP2Pt4 (PBE, relaxed); energy of formation = -0.69 eV/atom; DFT total energy = -5.549 eV per atom; density = 11.40 g cm⁻³; density of states at the Fermi level = 0.523 states/eV per atom
1.0
4.170 0.000 0.000
0.000 4.170 0.000
0.000 0.000 7.451
Li Ca P Pt
1 1 2 4
Direct
0.000 0.000 0.000
0.000 0.000 0.500
0.500 0.500 0.344
0.500 0.500 0.656
0.000 0.500 0.193
0.500 0.000 0.807
0.500 0.000 0.193
0.000 0.500 0.807



LiCaP2Pt5 (PBE, relaxed); energy of formation = -0.66 eV/atom; DFT total energy = -5.656 eV per atom; density = 10.97 g cm⁻³; density of states at the Fermi level = 0.351 states/eV per atom
1.0
4.078 0.000 0.000
0.000 4.078 0.000
0.000 0.000 9.871
Li Ca P Pt
1 1 2 5
Direct
0.000 0.000 0.000
0.000 0.000 0.500
0.500 0.500 0.269
0.500 0.500 0.731
0.000 0.500 0.158
0.500 0.000 0.158
0.000 0.500 0.842
0.500 0.000 0.842
0.500 0.500 0.500



LiCa2P3Pt4 (PBE, relaxed); energy of formation = -0.89 eV/atom; DFT total energy = -5.516 eV per atom; density = 9.25 g cm⁻³; density of states at the Fermi level = 0.407 states/eV per atom
1.0
-2.564 2.040 2.662
-0.040 -3.369 2.544
7.685 3.483 4.734
Li Ca P Pt
1 2 3 4
Direct
0.500 0.500 0.500
0.500 0.000 0.253
0.000 0.500 0.747
0.000 0.000 0.500
0.500 0.000 0.867
0.000 0.500 0.133
0.500 0.500 0.000
0.000 0.000 0.000
0.500 0.000 0.628
0.000 0.500 0.372



LiCa2P3Rh12 (PBE, relaxed); energy of formation = -0.22 eV/atom; DFT total energy = -6.349 eV per atom; density = 8.33 g cm⁻³; density of states at the Fermi level = 0.692 states/eV per atom
1.0
-0.243 3.266 5.739
-6.189 -1.632 1.644
1.484 -5.094 3.938
Li Ca P Rh
1 2 3 12
Direct
0.000 0.000 0.000
0.616 0.616 0.616
0.384 0.384 0.384
0.500 0.000 0.000
0.000 0.500 0.000
0.000 0.000 0.500
0.363 0.363 0.921
0.825 0.825 0.326
0.326 0.825 0.825
0.921 0.363 0.363
0.825 0.326 0.825
0.363 0.921 0.363
0.637 0.637 0.079
0.175 0.175 0.674
0.674 0.175 0.175
0.079 0.637 0.637
0.175 0.674 0.175
0.637 0.079 0.637



LiCa2P2Rh (PBE, relaxed); energy of formation = -0.89 eV/atom; DFT total energy = -4.910 eV per atom; density = 3.71 g cm⁻³; density of states at the Fermi level = 0.710 states/eV per atom
1.0
-0.533 0.151 5.686
-2.743 -4.952 -0.126
7.703 -0.976 -2.121
Li Ca P Rh
2 4 4 2
Direct
0.000 0.750 0.000
0.000 0.250 0.000
0.415 0.167 0.334
0.585 0.833 0.666
0.081 0.333 0.666
0.919 0.667 0.334
0.845 0.109 0.218
0.373 0.609 0.218
0.627 0.391 0.782
0.155 0.891 0.782
0.500 0.750 0.000
0.500 0.250 0.000



LiCaPS2 (PBE, relaxed); energy above the most stable polymorph in this dataset = 476 meV per atom; formation energy without anion corrections = 0.1305 eV per atom; DFT total energy = -3.386 eV per atom; density = 1.54 g cm⁻³; density of states at the Fermi level = 0.862 states/eV per atom
1.0
5.311 0.000 0.000
0.000 5.311 0.000
0.000 0.000 5.430
P Ca S Li
1 1 2 1
Direct
0.000 0.000 0.500
0.000 0.000 0.000
0.000 0.500 0.000
0.500 0.000 0.000
0.500 0.500 0.500



LiCaP2S6 (PBE, relaxed); formation energy without anion corrections = -0.6641 eV per atom; DFT total energy = -4.614 eV per atom; density = 2.13 g cm⁻³; density of states at the Fermi level = 0.310 states/eV per atom
1.0
7.307 0.141 0.146
2.513 8.068 0.308
2.513 0.009 8.074
Li Ca P S
2 2 4 12
Direct
0.250 0.251 0.749
0.750 0.749 0.251
0.250 0.867 0.133
0.750 0.133 0.867
0.307 0.783 0.633
0.193 0.367 0.217
0.693 0.217 0.367
0.807 0.633 0.783
0.170 0.962 0.812
0.330 0.188 0.038
0.830 0.038 0.188
0.670 0.812 0.962
0.390 0.887 0.402
0.110 0.598 0.113
0.610 0.113 0.598
0.890 0.402 0.887
0.038 0.689 0.600
0.462 0.400 0.311
0.962 0.311 0.400
0.538 0.600 0.689



LiCaP2S (PBE, relaxed); energy above the most stable polymorph in this dataset = 582 meV per atom; formation energy without anion corrections = 0.4669 eV per atom; DFT total energy = -3.306 eV per atom; density = 1.61 g cm⁻³; density of states at the Fermi level = 0.782 states/eV per atom
1.0
-1.875 2.969 -3.953
-4.874 -1.274 1.356
-0.194 4.180 3.232
P Ca S Li
2 1 1 1
Direct
0.000 0.000 0.500
0.500 0.000 0.000
0.000 0.000 0.000
0.000 0.500 0.000
0.500 0.500 0.500



LiCaP2S (PBE, relaxed); energy above the most stable polymorph in this dataset = 0 meV per atom; formation energy without anion corrections = -0.1149 eV per atom; DFT total energy = -3.887 eV per atom; density = 2.49 g cm⁻³; density of states at the Fermi level = 0.893 states/eV per atom
1.0
-3.320 -2.811 0.215
2.689 -3.059 1.543
-0.963 1.492 4.634
P Ca S Li
2 1 1 1
Direct
0.000 0.500 0.000
0.500 0.000 0.000
0.500 0.500 0.500
0.000 0.000 0.500
0.000 0.000 0.000



LiCaPS2 (PBE, relaxed); energy above the most stable polymorph in this dataset = 0 meV per atom; formation energy without anion corrections = -0.3457 eV per atom; DFT total energy = -3.862 eV per atom; density = 2.49 g cm⁻³; density of states at the Fermi level = 0.705 states/eV per atom
1.0
-2.135 -4.206 -0.314
0.662 -0.682 4.631
-3.740 1.838 0.805
P Ca S Li
1 1 2 1
Direct
0.000 0.000 0.500
0.500 0.500 0.500
0.000 0.500 0.000
0.500 0.000 0.000
0.000 0.000 0.000



LiCa2ScP (PBE, relaxed); energy of formation = 0.14 eV/atom; DFT total energy = -3.387 eV per atom; density = 2.04 g cm⁻³; density of states at the Fermi level = 1.110 states/eV per atom
1.0
5.564 0.000 0.000
0.000 4.285 0.000
0.000 0.000 5.564
Sc P Ca Li
1 1 2 1
Direct
0.500 0.500 0.500
0.000 0.500 0.000
0.000 0.000 0.500
0.500 0.000 0.000
0.000 0.000 0.000



Li2CaSmP2 (PBE, relaxed); energy of formation = -1.00 eV/atom; DFT total energy = -4.558 eV per atom; density = 3.87 g cm⁻³; density of states at the Fermi level = 0.350 states/eV per atom
1.0
4.195 0.000 0.000
-2.098 3.633 0.000
0.000 0.000 7.498
Li Ca Sm P
2 1 1 2
Direct
0.333 0.667 0.738
0.667 0.333 0.262
0.000 0.000 0.500
0.000 0.000 0.000
0.333 0.667 0.247
0.667 0.333 0.753



LiCaSnP2 (PBE, relaxed); energy above the most stable polymorph in this dataset = 650 meV per atom; energy of formation = 0.13 eV/atom; DFT total energy = -3.621 eV per atom; density = 2.98 g cm⁻³; density of states at the Fermi level = 0.454 states/eV per atom
1.0
5.187 0.000 0.000
0.000 4.718 0.000
0.000 0.000 5.187
P Ca Sn Li
2 1 1 1
Direct
0.000 0.000 0.500
0.500 0.000 0.000
0.500 0.500 0.500
0.000 0.000 0.000
0.000 0.500 0.000



LiCaSnP2 (PBE, relaxed); energy above the most stable polymorph in this dataset = 0 meV per atom; energy of formation = -0.52 eV/atom; DFT total energy = -4.271 eV per atom; density = 3.12 g cm⁻³; density of states at the Fermi level = 0.253 states/eV per atom
1.0
4.102 0.000 0.000
-2.051 7.180 0.396
0.000 -1.185 8.175
Li Ca Sn P
2 2 2 4
Direct
0.688 0.375 0.058
0.312 0.625 0.942
0.311 0.623 0.310
0.689 0.377 0.690
0.060 0.119 0.199
0.940 0.881 0.801
0.347 0.695 0.654
0.653 0.305 0.346
0.132 0.264 0.911
0.868 0.736 0.089



Sr2LiCaP (PBE, relaxed); energy of formation = -0.46 eV/atom; DFT total energy = -2.996 eV per atom; density = 2.12 g cm⁻³; density of states at the Fermi level = 0.892 states/eV per atom
1.0
-5.284 -0.949 2.605
-0.095 -5.542 -2.210
2.589 -1.868 4.572
Sr Ca Li P
2 1 1 1
Direct
0.000 0.500 0.000
0.500 0.000 0.000
0.000 0.000 0.500
0.500 0.500 0.500
0.000 0.000 0.000



SrLiCa2P (PBE, relaxed); energy of formation = -0.46 eV/atom; DFT total energy = -3.064 eV per atom; density = 1.84 g cm⁻³; density of states at the Fermi level = 0.922 states/eV per atom
1.0
5.584 0.000 0.000
0.000 5.584 0.000
0.000 0.000 5.961
Sr Ca Li P
1 2 1 1
Direct
0.000 0.000 0.500
0.000 0.500 0.000
0.500 0.000 0.000
0.500 0.500 0.500
0.000 0.000 0.000



LiCa2TeP (PBE, relaxed); formation energy without anion corrections = -1.1217 eV per atom; DFT total energy = -4.015 eV per atom; density = 2.93 g cm⁻³
1.0
-3.292 3.580 -2.538
-0.815 -3.616 -4.044
-3.631 -1.726 2.275
P Ca Te Li
1 2 1 1
Direct
0.000 0.000 0.000
0.000 0.500 0.000
0.500 0.000 0.000
0.500 0.500 0.500
0.000 0.000 0.500



LiCaTi2P (PBE, relaxed); energy of formation = -0.11 eV/atom; DFT total energy = -5.129 eV per atom; density = 2.68 g cm⁻³; density of states at the Fermi level = 1.164 states/eV per atom
1.0
-2.811 0.537 3.780
-0.286 -4.762 0.464
3.807 0.047 2.824
P Ca Li Ti
1 1 1 2
Direct
0.000 0.000 0.000
0.500 0.500 0.500
0.000 0.500 0.000
0.000 0.000 0.500
0.500 0.000 0.000



LiCaPa (PBE, relaxed); energy of formation = 0.22 eV/atom; DFT total energy = -4.249 eV per atom; density = 5.30 g cm⁻³; density of states at the Fermi level = 1.764 states/eV per atom
1.0
3.643 -0.111 1.092
-0.129 3.643 1.092
0.114 0.115 13.218
Pa Ca Li
2 2 2
Direct
0.723 0.723 0.544
0.277 0.277 0.456
0.995 0.995 0.759
0.005 0.005 0.241
0.307 0.307 0.944
0.693 0.693 0.056



LiCa2Pa (PBE, relaxed); energy of formation = 0.42 eV/atom; DFT total energy = -3.430 eV per atom; density = 4.46 g cm⁻³; density of states at the Fermi level = 1.149 states/eV per atom
1.0
-1.927 2.068 -1.740
-2.779 1.211 1.351
4.806 10.769 4.310
Ca Pa Li
2 1 1
Direct
0.089 0.089 0.734
0.911 0.911 0.266
0.000 0.000 0.000
0.500 0.500 0.500



LiCa2PaS4 (PBE, relaxed); formation energy without anion corrections = -1.7615 eV per atom; DFT total energy = -5.752 eV per atom; density = 4.23 g cm⁻³; density of states at the Fermi level = 0.706 states/eV per atom
1.0
-1.497 -3.455 -1.102
3.921 0.089 -5.604
3.465 -3.124 5.084
Li Ca Pa S
1 2 1 4
Direct
0.000 0.000 0.000
0.500 0.000 0.500
0.000 0.500 0.500
0.500 0.500 0.000
0.500 0.251 0.239
0.500 0.749 0.761
0.000 0.249 0.756
0.000 0.751 0.244



| no. | total magnetization (μB/f.u.) |
| --- | --- |
| 1 | 0.0 |
| 2 | 0.0 |
| 3 | 0.0 |
| 4 | 0.0 |
| 5 | 0.0 |
| 6 | 0.0 |
| 7 | 0.0 |
| 8 | 0.0 |
| 9 | 0.0 |
| 10 | 2.6 |
| 11 | 0.0 |
| 12 | 1.0 |
| 13 | 0.0 |
| 14 | 0.0 |
| 15 | 2.4 |
| 16 | 0.0 |
| 17 | 0.0 |
| 18 | 0.0 |
| 19 | 0.0 |
| 20 | 0.0 |
| 21 | 0.0 |
| 22 | 1.1 |
| 23 | 0.0 |
| 24 | 0.0 |
| 25 | 1.6 |